DFT (PBE) results for a relaxed CsScI2O crystal.

V: 160.3 Å³ per cell
DOS(E_F): 0.000 states/eV/f.u.
Symmetry: P4/mmm (123)
Energy above the most stable polymorph in this dataset: 0 kJ/mol of formula units
Uncorrected formation energy: -1.79 eV per atom
Total DFT energy (no corrections): -24.21 eV/f.u.
Size of the total moment: 0.0000 μB per atom

a = 6.342 Å, b = 6.342 Å, c = 3.985 Å
α = 90.00°, β = 90.00°, γ = 90.00°
Sites, in units of the cell vectors:
1 Cs 0.000 0.000 0.000
2 Sc 0.500 0.500 0.500
3 I 0.000 0.500 0.500
4 I 0.500 0.000 0.500
5 O 0.500 0.500 0.000